No. 1
## Pr2Ni2Au (PBE-GGA)

Data for Pr2Ni2Au after structural relaxation. Values from VASP.

The structure in Quantum ESPRESSO input format:
```
&SYSTEM
  ibrav = 0, nat = 10, ntyp = 3
/
ATOMIC_SPECIES
Pr 140.91 Pr.upf
Ni 58.69 Ni.upf
Au 196.97 Au.upf
ATOMIC_POSITIONS crystal
Pr 0.005 0.703 0.852
Pr 0.297 0.995 0.648
Pr 0.703 0.005 0.352
Pr 0.995 0.297 0.148
Ni 0.210 0.502 0.495
Ni 0.498 0.790 0.005
Ni 0.502 0.210 0.995
Ni 0.790 0.498 0.505
Au 0.337 0.663 0.250
Au 0.663 0.337 0.750
CELL_PARAMETERS angstrom
4.888 -2.765 0.000
4.888 2.765 0.000
-2.087 0.000 7.731
```

Calculated values
density of states at the Fermi level	8.6	states/eV/cell
crystal system	monoclinic
energy relative to the lowest polymorph listed for this composition	50.7	meV/atom
density	9.5	g cm⁻³

=====

No. 2
## CeErAlTl (PBE-GGA)

Data for CeErAlTl after structural relaxation. Values from VASP.

The structure in Quantum ESPRESSO input format:
```
&SYSTEM
  ibrav = 0, nat = 16, ntyp = 4
/
ATOMIC_SPECIES
Ce 140.12 Ce.upf
Er 167.26 Er.upf
Al 26.98 Al.upf
Tl 204.38 Tl.upf
ATOMIC_POSITIONS crystal
Ce 0.000 0.000 0.000
Ce 0.000 0.500 0.500
Ce 0.500 0.000 0.500
Ce 0.500 0.500 0.000
Er 0.000 0.000 0.500
Er 0.000 0.500 0.000
Er 0.500 0.000 0.000
Er 0.500 0.500 0.500
Al 0.250 0.250 0.250
Al 0.250 0.750 0.750
Al 0.750 0.250 0.750
Al 0.750 0.750 0.250
Tl 0.250 0.250 0.750
Tl 0.250 0.750 0.250
Tl 0.750 0.250 0.250
Tl 0.750 0.750 0.750
CELL_PARAMETERS angstrom
7.485 0.000 0.000
0.000 7.485 0.000
0.000 0.000 7.485
```

Calculated values
density of states at the Fermi level	27.4	states/eV/cell
crystal system	cubic
uncorrected energy	-17.66	eV per formula unit
density	8.5	g cm⁻³

=====

No. 3
## Ba2SnHg7 (PBE-GGA)

Data for Ba2SnHg7 after structural relaxation. Values from VASP.

The structure in Quantum ESPRESSO input format:
```
&SYSTEM
  ibrav = 0, nat = 10, ntyp = 3
/
ATOMIC_SPECIES
Ba 137.33 Ba.upf
Sn 118.71 Sn.upf
Hg 200.59 Hg.upf
ATOMIC_POSITIONS crystal
Ba 0.000 0.500 0.249
Ba 0.500 0.000 0.751
Sn 0.500 0.500 0.000
Hg 0.000 0.000 0.000
Hg 0.000 0.000 0.500
Hg 0.000 0.500 0.638
Hg 0.000 0.500 0.865
Hg 0.500 0.000 0.135
Hg 0.500 0.000 0.362
Hg 0.500 0.500 0.500
CELL_PARAMETERS angstrom
4.894 0.000 0.000
0.000 4.894 0.000
0.000 0.000 12.645
```

Calculated values
density of states at the Fermi level	4.4	states/eV/cell
crystal system	tetragonal
uncorrected energy	-13.41	eV per formula unit
density	9.9	g cm⁻³

=====

No. 4
## In2ReSb (PBE-GGA)

Data for In2ReSb after structural relaxation. Values from VASP.

The structure in Quantum ESPRESSO input format:
```
&SYSTEM
  ibrav = 0, nat = 8, ntyp = 3
/
ATOMIC_SPECIES
In 114.82 In.upf
Re 186.21 Re.upf
Sb 121.76 Sb.upf
ATOMIC_POSITIONS crystal
In 0.000 0.500 0.250
In 0.000 0.500 0.750
In 0.500 0.000 0.250
In 0.500 0.000 0.750
Re 0.000 0.000 0.000
Re 0.500 0.500 0.500
Sb 0.000 0.000 0.500
Sb 0.500 0.500 0.000
CELL_PARAMETERS angstrom
4.270 0.000 0.000
0.000 4.270 0.000
0.000 0.000 9.152
```

Calculated values
density of states at the Fermi level	9.1	states/eV/cell
crystal system	tetragonal
formation energy (no corrections)	3.09	eV/f.u.
density	10.7	g cm⁻³